(1)
DFT (PBE) results for a relaxed structure of AsOsC2.

## Properties
* density of states at the Fermi level: 2.10 states/eV/f.u.
* magnetic moment: 0.000 Bohr magnetons per cell
* electronic total energy: -60.79 eV/cell
* crystal system: tetragonal

abc: 4.7266 4.7266 5.6477
angles: 65.26 65.26 90.00
Atoms (fractional coordinates):
As 0.5000 0.5000 0.0000
As 0.2500 0.7500 0.5000
Os 0.0000 0.0000 0.0000
Os 0.7500 0.2500 0.5000
C 0.6292 0.1250 0.2500
C 0.1208 0.6250 0.2500
C 0.3750 0.3708 0.7500
C 0.8750 0.8792 0.7500



(2)
DFT (PBE) results for a relaxed structure of As3OsC.

## Properties
* density of states at the Fermi level: 2.90 states/eV/f.u.
* magnetic moment: 0.000 Bohr magnetons per cell
* electronic total energy: -27.84 eV/cell
* crystal system: cubic

abc: 4.2024 4.2024 4.2024
angles: 90.00 90.00 90.00
Atoms (fractional coordinates):
As 0.0000 0.5000 0.0000
As 0.0000 0.0000 0.5000
As 0.5000 0.0000 0.0000
Os 0.5000 0.5000 0.5000
C 0.0000 0.0000 0.0000



(3)
DFT (PBE) results for a relaxed structure of As2OsC.

## Properties
* density of states at the Fermi level: 0.13 states/eV/f.u.
* magnetic moment: 0.000 Bohr magnetons per cell
* electronic total energy: -53.46 eV/cell
* crystal system: tetragonal

abc: 5.3130 5.3130 5.8922
angles: 63.20 63.20 90.00
Atoms (fractional coordinates):
As 0.5694 0.1250 0.2500
As 0.1806 0.6250 0.2500
As 0.3750 0.4306 0.7500
As 0.8750 0.8194 0.7500
Os 0.0000 0.0000 0.0000
Os 0.7500 0.2500 0.5000
C 0.5000 0.5000 0.0000
C 0.2500 0.7500 0.5000



(4)
DFT (PBE) results for a relaxed structure of As3OsC.

## Properties
* density of states at the Fermi level: 3.38 states/eV/f.u.
* magnetic moment: 0.710 Bohr magnetons per cell
* electronic total energy: -24.98 eV/cell
* crystal system: cubic

abc: 4.7781 4.7781 4.7781
angles: 90.00 90.00 90.00
Atoms (fractional coordinates):
As 0.0000 0.5000 0.0000
As 0.0000 0.0000 0.5000
As 0.5000 0.0000 0.0000
Os 0.0000 0.0000 0.0000
C 0.5000 0.5000 0.5000



(5)
DFT (PBE) results for a relaxed structure of AsOsCSe2.

## Properties
* density of states at the Fermi level: 6.84 states/eV/f.u.
* magnetic moment: 0.643 Bohr magnetons per cell
* electronic total energy: -22.43 eV/cell
* uncorrected formation energy: 1.929 eV per atom
* crystal system: tetragonal

abc: 4.9435 4.9435 4.7063
angles: 90.00 90.00 90.00
Atoms (fractional coordinates):
As 0.0000 0.0000 0.5000
Os 0.0000 0.0000 0.0000
C 0.5000 0.5000 0.5000
Se 0.0000 0.5000 0.0000
Se 0.5000 0.0000 0.0000



(6)
DFT (PBE) results for a relaxed structure of AsOsCSe2.

## Properties
* density of states at the Fermi level: 3.18 states/eV/f.u.
* magnetic moment: 0.000 Bohr magnetons per cell
* electronic total energy: -24.72 eV/cell
* uncorrected formation energy: 1.471 eV per atom
* crystal system: tetragonal

abc: 4.2805 4.2805 4.1458
angles: 90.00 90.00 90.00
Atoms (fractional coordinates):
As 0.0000 0.0000 0.5000
Os 0.5000 0.5000 0.5000
C 0.0000 0.0000 0.0000
Se 0.0000 0.5000 0.0000
Se 0.5000 0.0000 0.0000



(7)
DFT (PBE) results for a relaxed structure of Sn2AsOsC.

## Properties
* density of states at the Fermi level: 5.28 states/eV/f.u.
* magnetic moment: 0.000 Bohr magnetons per cell
* electronic total energy: -28.79 eV/cell
* crystal system: tetragonal

abc: 4.9897 3.9137 4.9897
angles: 90.00 90.00 90.00
Atoms (fractional coordinates):
C 0.0000 0.0000 0.0000
As 0.5000 0.5000 0.5000
Os 0.0000 0.5000 0.0000
Sn 0.0000 0.0000 0.5000
Sn 0.5000 0.0000 0.0000



(8)
DFT (PBE) results for a relaxed structure of Tl2AsOsC.

## Properties
* density of states at the Fermi level: 4.20 states/eV/f.u.
* magnetic moment: 1.264 Bohr magnetons per cell
* electronic total energy: -19.10 eV/cell
* crystal system: tetragonal

abc: 5.7836 4.5851 5.7836
angles: 90.00 90.00 90.00
Atoms (fractional coordinates):
C 0.5000 0.5000 0.5000
Tl 0.0000 0.0000 0.5000
Tl 0.5000 0.0000 0.0000
Os 0.0000 0.5000 0.0000
As 0.0000 0.0000 0.0000



Among the records above, which one has the lowest density of states at the Fermi level? As2OsC